Crystalline RbLi2Ni at its relaxed geometry. Source: Alexandria, functional PBE.

Results
* total magnetization: 0.00 μB per formula unit
* crystal system: cubic
* energy relative to the elements: 0.56 eV/atom
* relative energy among the computed polymorphs: 45 meV per atom

Unit cell a=7.1465 b=7.1465 c=7.1465 alpha=90.00 beta=90.00 gamma=90.00
Closest atoms and distances in Å follow each position.
Space group Fm-3m (No. 225)
One atom of each set of equivalent atoms:
Rb1 0.0000 0.0000 0.0000 [4 per cell]  8 Li 3.09
Li1 0.2500 0.2500 0.2500 [8 per cell]  4 Ni 3.09, 4 Rb 3.09
Ni1 0.0000 0.0000 0.5000 [4 per cell]  8 Li 3.09